Entry w
# Sm4Y6Er | Alexandria | PBE | relaxed
data_Sm4Y6Er
_space_group_name_H-M_alt 'P -6 m 2'
_space_group_IT_number 187
_space_group_name_Hall 'P -6 2'
_cell_length_a 10.9500
_cell_length_b 10.9500
_cell_length_c 3.5786
_cell_angle_alpha 90.00
_cell_angle_beta 90.00
_cell_angle_gamma 120.00
loop_
_atom_site_label
_atom_site_type_symbol
_atom_site_fract_x
_atom_site_fract_y
_atom_site_fract_z
_atom_site_occupancy
Sm1 Sm 0.0000 0.0000 0.0000 1
Sm2 Sm 0.5077 0.0155 0.5000 1
Y1 Y 0.1875 0.3749 0.0000 1
Y2 Y 0.3015 0.1507 0.5000 1
Er1 Er 0.6667 0.3333 0.0000 1
# Fermi-level density of states in states/eV per atom: 1.5983


Entry x
# Sm4Y6Er | Alexandria | PBE | relaxed
data_Sm4Y6Er
_space_group_name_H-M_alt 'C m c m'
_space_group_IT_number 63
_space_group_name_Hall '-C 2c 2'
_cell_length_a 5.7576
_cell_length_b 9.7011
_cell_length_c 25.8662
_cell_angle_alpha 90.00
_cell_angle_beta 90.00
_cell_angle_gamma 90.00
loop_
_atom_site_label
_atom_site_type_symbol
_atom_site_fract_x
_atom_site_fract_y
_atom_site_fract_z
_atom_site_occupancy
Sm1 Sm 0.0000 0.0291 0.1218 1
Sm2 Sm 0.0000 0.3429 0.0440 1
Y1 Y 0.0000 0.0000 0.0000 1
Y2 Y 0.0000 0.0172 0.2500 1
Y3 Y 0.0000 0.3106 0.6062 1
Y4 Y 0.0000 0.3544 0.1826 1
Er1 Er 0.0000 0.3169 0.7500 1
# Fermi-level density of states in states/eV per atom: 1.8969


The most stable arrangement is entry x, and the next structure is 40 meV/atom less stable.


Entry w
# SmY12Er7 | Alexandria | PBE | relaxed
data_SmY12Er7
_space_group_name_H-M_alt 'R -3'
_space_group_IT_number 148
_space_group_name_Hall '-R 3'
_cell_length_a 18.5359
_cell_length_b 18.5359
_cell_length_c 6.7079
_cell_angle_alpha 90.00
_cell_angle_beta 90.00
_cell_angle_gamma 120.00
loop_
_atom_site_label
_atom_site_type_symbol
_atom_site_fract_x
_atom_site_fract_y
_atom_site_fract_z
_atom_site_occupancy
Sm1 Sm 0.0000 0.0000 0.0000 1
Y1 Y 0.0009 0.7896 0.2864 1
Y2 Y 0.0072 0.4704 0.7381 1
Er1 Er 0.0000 0.0000 0.5000 1
Er2 Er 0.0091 0.8535 0.7808 1
# Fermi-level density of states in states/eV per atom: 1.5172


Entry x
# SmY12Er7 | Alexandria | PBE | relaxed
data_SmY12Er7
_space_group_name_H-M_alt 'R -3'
_space_group_IT_number 148
_space_group_name_Hall '-R 3'
_cell_length_a 12.8331
_cell_length_b 12.8331
_cell_length_c 13.6018
_cell_angle_alpha 90.00
_cell_angle_beta 90.00
_cell_angle_gamma 120.00
loop_
_atom_site_label
_atom_site_type_symbol
_atom_site_fract_x
_atom_site_fract_y
_atom_site_fract_z
_atom_site_occupancy
Sm1 Sm 0.0000 0.0000 0.0000 1
Y1 Y 0.0004 0.4360 0.2490 1
Y2 Y 0.0684 0.1988 0.3462 1
Er1 Er 0.0000 0.0000 0.5000 1
Er2 Er 0.0688 0.8680 0.8493 1
# Fermi-level density of states in states/eV per atom: 0.9622


The most stable arrangement is entry x, and the next structure is 50 meV/atom less stable.